Ca3DyHg12 | PBE | relaxed

Space group: P4/mmm
Formation enthalpy at 0 K in meV/atom: -355.4
Crystal system: tetragonal

Cell: 4.663 4.663 18.712 Å, 90.00 90.00 90.00°
Sites, in units of the cell vectors:
Ca 0.000 0.000 0.000
Ca 0.000 0.000 0.251
Ca 0.000 0.000 0.749
Dy 0.000 0.000 0.500
Hg 0.000 0.500 0.126
Hg 0.000 0.500 0.378
Hg 0.000 0.500 0.622
Hg 0.000 0.500 0.874
Hg 0.500 0.000 0.126
Hg 0.500 0.000 0.378
Hg 0.500 0.000 0.622
Hg 0.500 0.000 0.874
Hg 0.500 0.500 0.000
Hg 0.500 0.500 0.252
Hg 0.500 0.500 0.500
Hg 0.500 0.500 0.748

---

Ca3DyHg4 | PBE | relaxed

Space group: C2/m
Formation enthalpy at 0 K in meV/atom: -544.3
Crystal system: monoclinic

Cell: 8.348 8.348 5.357 Å, 108.57 108.57 37.43°
Sites, in units of the cell vectors:
Ca 0.000 0.000 0.000
Ca 0.251 0.251 0.251
Ca 0.749 0.749 0.749
Dy 0.500 0.500 0.500
Hg 0.121 0.121 0.621
Hg 0.379 0.379 0.879
Hg 0.621 0.621 0.121
Hg 0.879 0.879 0.379